# Eu3Ge5Cl12 | Alexandria via LeMat-Bulk | PBE-GGA | relaxed
# **Space group**: Ia-3d (230)
# **ΔE_f (raw)**: -91.9 kJ/mol of atoms
# **Crystal system**: cubic
# **Fermi-level density of states**: 0.430 states/eV/atom
data_Eu3Ge5Cl12
_chemical_formula_sum 'Eu12 Ge20 Cl48'
_space_group_name_H-M_alt 'P 1'
_space_group_IT_number 1
_space_group_name_Hall 'P 1'
_cell_length_a 14.623
_cell_length_b 14.623
_cell_length_c 14.623
_cell_angle_alpha 109.47
_cell_angle_beta 109.47
_cell_angle_gamma 109.47
loop_
_atom_site_label
_atom_site_fract_x
_atom_site_fract_y
_atom_site_fract_z
Eu1 0.125 0.250 0.375
Eu2 0.125 0.375 0.750
Eu3 0.250 0.375 0.125
Eu4 0.250 0.875 0.625
Eu5 0.375 0.125 0.250
Eu6 0.375 0.750 0.125
Eu7 0.625 0.250 0.875
Eu8 0.625 0.875 0.750
Eu9 0.750 0.125 0.375
Eu10 0.750 0.625 0.875
Eu11 0.875 0.625 0.250
Eu12 0.875 0.750 0.625
Ge1 0.000 0.000 0.000
Ge2 0.000 0.000 0.500
Ge3 0.000 0.500 0.000
Ge4 0.000 0.500 0.500
Ge5 0.125 0.750 0.875
Ge6 0.125 0.875 0.250
Ge7 0.250 0.125 0.875
Ge8 0.250 0.625 0.375
Ge9 0.375 0.250 0.625
Ge10 0.375 0.625 0.750
Ge11 0.500 0.000 0.000
Ge12 0.500 0.000 0.500
Ge13 0.500 0.500 0.000
Ge14 0.500 0.500 0.500
Ge15 0.625 0.375 0.250
Ge16 0.625 0.750 0.375
Ge17 0.750 0.375 0.625
Ge18 0.750 0.875 0.125
Ge19 0.875 0.125 0.750
Ge20 0.875 0.250 0.125
Cl1 0.051 0.216 0.139
Cl2 0.051 0.335 0.912
Cl3 0.077 0.716 0.665
Cl4 0.077 0.861 0.412
Cl5 0.088 0.639 0.423
Cl6 0.088 0.949 0.665
Cl7 0.139 0.051 0.216
Cl8 0.139 0.588 0.923
Cl9 0.165 0.216 0.577
Cl10 0.165 0.449 0.588
Cl11 0.216 0.139 0.051
Cl12 0.216 0.577 0.165
Cl13 0.284 0.335 0.923
Cl14 0.284 0.449 0.361
Cl15 0.335 0.912 0.051
Cl16 0.335 0.923 0.284
Cl17 0.361 0.284 0.449
Cl18 0.361 0.577 0.912
Cl19 0.412 0.077 0.861
Cl20 0.412 0.835 0.551
Cl21 0.423 0.088 0.639
Cl22 0.423 0.835 0.784
Cl23 0.449 0.361 0.284
Cl24 0.449 0.588 0.165
Cl25 0.551 0.412 0.835
Cl26 0.551 0.639 0.716
Cl27 0.577 0.165 0.216
Cl28 0.577 0.912 0.361
Cl29 0.588 0.165 0.449
Cl30 0.588 0.923 0.139
Cl31 0.639 0.423 0.088
Cl32 0.639 0.716 0.551
Cl33 0.665 0.077 0.716
Cl34 0.665 0.088 0.949
Cl35 0.716 0.551 0.639
Cl36 0.716 0.665 0.077
Cl37 0.784 0.423 0.835
Cl38 0.784 0.861 0.949
Cl39 0.835 0.551 0.412
Cl40 0.835 0.784 0.423
Cl41 0.861 0.412 0.077
Cl42 0.861 0.949 0.784
Cl43 0.912 0.051 0.335
Cl44 0.912 0.361 0.577
Cl45 0.923 0.139 0.588
Cl46 0.923 0.284 0.335
Cl47 0.949 0.665 0.088
Cl48 0.949 0.784 0.861

# Eu2GeCl | Alexandria via LeMat-Bulk | PBE-GGA | relaxed
# **Space group**: R-3m (166)
# **ΔE_f (raw)**: -114.4 kJ/mol of atoms
# **Crystal system**: trigonal
# **Fermi-level density of states**: 4.368 states/eV/atom
# **Relative energy among the computed polymorphs**: 0.00 kcal/mol of atoms
data_Eu2GeCl
_chemical_formula_sum 'Eu6 Ge3 Cl3'
_space_group_name_H-M_alt 'P 1'
_space_group_IT_number 1
_space_group_name_Hall 'P 1'
_cell_length_a 4.265
_cell_length_b 4.265
_cell_length_c 22.121
_cell_angle_alpha 90.00
_cell_angle_beta 90.00
_cell_angle_gamma 120.00
loop_
_atom_site_label
_atom_site_fract_x
_atom_site_fract_y
_atom_site_fract_z
Eu1 0.000 0.000 0.247
Eu2 0.000 0.000 0.753
Eu3 0.333 0.667 0.420
Eu4 0.333 0.667 0.913
Eu5 0.667 0.333 0.087
Eu6 0.667 0.333 0.580
Ge1 0.000 0.000 0.500
Ge2 0.333 0.667 0.167
Ge3 0.667 0.333 0.833
Cl1 0.000 0.000 0.000
Cl2 0.333 0.667 0.667
Cl3 0.667 0.333 0.333

# Eu2HCl2 | Alexandria via LeMat-Bulk | PBE-GGA | relaxed
# **Space group**: P4/mmm (123)
# **Crystal system**: tetragonal
# **Fermi-level density of states**: 4.264 states/eV/atom
# **Total energy**: -6.11 eV per atom
data_Eu2HCl2
_chemical_formula_sum 'Eu2 H1 Cl2'
_space_group_name_H-M_alt 'P 1'
_space_group_IT_number 1
_space_group_name_Hall 'P 1'
_cell_length_a 4.523
_cell_length_b 4.523
_cell_length_c 13.497
_cell_angle_alpha 90.00
_cell_angle_beta 90.00
_cell_angle_gamma 90.00
loop_
_atom_site_label
_atom_site_fract_x
_atom_site_fract_y
_atom_site_fract_z
Eu1 0.000 0.000 0.170
Eu2 0.000 0.000 0.830
H1 0.000 0.000 0.000
Cl1 0.000 0.000 0.355
Cl2 0.000 0.000 0.645

# Eu2H3Cl | Alexandria via LeMat-Bulk | PBE-GGA | relaxed
# **Space group**: P-3m1 (164)
# **Crystal system**: trigonal
# **Fermi-level density of states**: 0.028 states/eV/atom
# **Total energy**: -6.46 eV per atom
data_Eu2H3Cl
_chemical_formula_sum 'Eu2 H3 Cl1'
_space_group_name_H-M_alt 'P 1'
_space_group_IT_number 1
_space_group_name_Hall 'P 1'
_cell_length_a 4.012
_cell_length_b 4.012
_cell_length_c 6.789
_cell_angle_alpha 90.00
_cell_angle_beta 90.00
_cell_angle_gamma 120.00
loop_
_atom_site_label
_atom_site_fract_x
_atom_site_fract_y
_atom_site_fract_z
Eu1 0.333 0.667 0.300
Eu2 0.667 0.333 0.700
H1 0.000 0.000 0.500
H2 0.333 0.667 0.651
H3 0.667 0.333 0.349
Cl1 0.000 0.000 0.000